No. 1
An optimized crystal structure of Pm2TeH3, computed with PBE.

Output
Final energy: -4.573 eV/atom

Unit cell a=4.0408 b=4.0408 c=7.0484 alpha=90.00 beta=90.00 gamma=120.00
Last column: nearest neighbours and their distance in Å.
Space group P-3m1 (No. 164)
Asymmetric unit:
1 Pm 0.3333 0.6667 0.2977 x2  4 H 2.34-2.39
2 Te 0.0000 0.0000 0.0000 x1  6 Pm 3.14, 6 H 3.50
3 H 0.0000 0.0000 0.5000 x1  6 H 2.50, 6 Pm 2.73
4 H 0.3333 0.6667 0.6290 x2  4 Pm 2.34-2.39, 3 H 2.50

***

No. 2
An optimized crystal structure of Pm3Te2H2, computed with PBE.

Output
Final energy: -4.894 eV/atom

Unit cell a=4.1669 b=4.5947 c=9.0853 alpha=75.37 beta=76.79 gamma=89.96
Last column: nearest neighbours and their distance in Å.
Space group P-1 (No. 2)
Asymmetric unit:
1 Pm 0.0000 0.0000 0.0000 x1  4 H 2.39
2 Pm 0.3766 0.3762 0.2486 x2  2 H 2.40
3 Te 0.1777 0.1783 0.6424 x2  6 Pm 3.05-3.36
4 H 0.4998 0.2551 0.0002 x2  2 H 2.25-2.34, 4 Pm 2.39-2.40